(1)
SmGa3IrPt after structural relaxation, computed with PBE.

a b c (Å): 6.824 6.824 5.789
angles (deg): 90.00 90.00 107.03
Sites, in units of the cell vectors:
Sm1 0.247 0.753 0.750
Sm2 0.753 0.247 0.250
Ga1 0.245 0.755 0.250
Ga2 0.248 0.248 0.000
Ga3 0.248 0.248 0.500
Ga4 0.752 0.752 0.000
Ga5 0.752 0.752 0.500
Ga6 0.755 0.245 0.750
Ir1 0.030 0.970 0.250
Ir2 0.970 0.030 0.750
Pt1 0.462 0.538 0.250
Pt2 0.538 0.462 0.750

* ΔE_f: -0.455 eV per atom
* E: -5.24 eV per atom
* DOS at the Fermi energy: 6.4 states/eV per cell

---

(2)
Fe8CoPt6 after structural relaxation, computed with PBE.

a b c (Å): 6.618 6.618 6.618
angles (deg): 60.58 60.58 60.58
Sites, in units of the cell vectors:
Fe1 0.076 0.076 0.076
Fe2 0.165 0.627 0.313
Fe3 0.313 0.165 0.627
Fe4 0.373 0.687 0.835
Fe5 0.627 0.313 0.165
Fe6 0.687 0.835 0.373
Fe7 0.835 0.373 0.687
Fe8 0.924 0.924 0.924
Co1 0.500 0.500 0.500
Pt1 0.044 0.554 0.763
Pt2 0.237 0.956 0.446
Pt3 0.446 0.237 0.956
Pt4 0.554 0.763 0.044
Pt5 0.763 0.044 0.554
Pt6 0.956 0.446 0.237

* ΔE_f: -0.045 eV per atom
* E: -7.45 eV per atom
* DOS at the Fermi energy: 11.5 states/eV per cell

---

(3)
Rb2MnPbBr6 after structural relaxation, computed with PBE.

a b c (Å): 8.014 8.014 8.014
angles (deg): 60.00 60.00 60.00
Sites, in units of the cell vectors:
Rb1 0.250 0.250 0.250
Rb2 0.750 0.750 0.750
Mn1 0.000 0.000 0.000
Pb1 0.500 0.500 0.500
Br1 0.236 0.236 0.764
Br2 0.236 0.764 0.236
Br3 0.236 0.764 0.764
Br4 0.764 0.236 0.236
Br5 0.764 0.236 0.764
Br6 0.764 0.764 0.236

* E: -3.68 eV per atom
* DOS at the Fermi energy: 0.0 states/eV per cell

---

(4)
Ac6PmPd4 after structural relaxation, computed with PBE.

a b c (Å): 6.425 6.425 9.857
angles (deg): 106.91 106.91 95.94
Sites, in units of the cell vectors:
Ac1 0.000 0.000 0.000
Ac2 0.088 0.592 0.664
Ac3 0.174 0.630 0.286
Ac4 0.519 0.519 0.999
Ac5 0.592 0.088 0.664
Ac6 0.630 0.174 0.286
Pm1 0.054 0.054 0.588
Pd1 0.169 0.169 0.347
Pd2 0.461 0.989 0.930
Pd3 0.697 0.697 0.347
Pd4 0.989 0.461 0.930

* ΔE_f: -0.464 eV per atom
* E: -5.02 eV per atom
* DOS at the Fermi energy: 10.5 states/eV per cell